Record 1
# Sc2BeB (PBE, optimized geometry)
data_Sc2BeB
_cell_length_a 6.690
_cell_length_b 6.690
_cell_length_c 5.967
_cell_angle_alpha 90.00
_cell_angle_beta 90.00
_cell_angle_gamma 90.00
_symmetry_space_group_name_H-M 'I -4 2 d'
_symmetry_Int_Tables_number 122
_symmetry_space_group_name_Hall 'I -4 2bw'
loop_
_atom_site_label
_atom_site_type_symbol
_atom_site_fract_x
_atom_site_fract_y
_atom_site_fract_z
Sc1 Sc 0.212 0.750 0.125
Be1 Be 0.000 0.000 0.500
B1 B 0.000 0.000 0.000
# DFT total energy   -5.3671 eV per atom

***

Record 2
# ScBeB2 (PBE, optimized geometry)
data_ScBeB2
_cell_length_a 5.509
_cell_length_b 3.271
_cell_length_c 8.660
_cell_angle_alpha 90.00
_cell_angle_beta 90.00
_cell_angle_gamma 90.00
_symmetry_space_group_name_H-M 'P n m a'
_symmetry_Int_Tables_number 62
loop_
_symmetry_equiv_pos_as_xyz
'x,y,z'
'-x,-y,-z'
'-x+1/2,-y,z+1/2'
'x+1/2,y,-z+1/2'
'x+1/2,-y+1/2,-z+1/2'
'-x+1/2,y+1/2,z+1/2'
'-x,y+1/2,-z'
'x,-y+1/2,z'
loop_
_atom_site_label
_atom_site_type_symbol
_atom_site_fract_x
_atom_site_fract_y
_atom_site_fract_z
Sc1 Sc 0.127 0.250 0.137
Be1 Be 0.126 0.250 0.438
B1 B 0.027 0.250 0.668
B2 B 0.215 0.250 0.834
# DFT total energy   -6.4313 eV per atom

***

Repeat the second record exactly.
# ScBeB2 (PBE, optimized geometry)
data_ScBeB2
_cell_length_a 5.509
_cell_length_b 3.271
_cell_length_c 8.660
_cell_angle_alpha 90.00
_cell_angle_beta 90.00
_cell_angle_gamma 90.00
_symmetry_space_group_name_H-M 'P n m a'
_symmetry_Int_Tables_number 62
loop_
_symmetry_equiv_pos_as_xyz
'x,y,z'
'-x,-y,-z'
'-x+1/2,-y,z+1/2'
'x+1/2,y,-z+1/2'
'x+1/2,-y+1/2,-z+1/2'
'-x+1/2,y+1/2,z+1/2'
'-x,y+1/2,-z'
'x,-y+1/2,z'
loop_
_atom_site_label
_atom_site_type_symbol
_atom_site_fract_x
_atom_site_fract_y
_atom_site_fract_z
Sc1 Sc 0.127 0.250 0.137
Be1 Be 0.126 0.250 0.438
B1 B 0.027 0.250 0.668
B2 B 0.215 0.250 0.834
# DFT total energy   -6.4313 eV per atom

***

Which of these has the highest DFT total energy?
Sc2BeB